Material: Tl2TcPt
Method: DFT, PBE-GGA
State: relaxed

POSCAR file:
```
Tl2TcPt
1.0
-3.4040 0.1314 -4.3346
-1.9154 -2.0033 4.8905
-1.6094 2.2993 1.2159
Pt Tc Tl
1 1 2
Direct
0.0000 0.5000 0.5000
0.5000 0.5000 0.0000
0.0000 0.0000 0.0000
0.5000 0.0000 0.5000
```

**Final energy**: -4.729 eV per atom
**SG**: No. 12
**Density**: 14.77 g cm⁻³
**Energy above the most stable polymorph in this dataset**: 0.887 eV/f.u.
**Formation energy**: 2.2 eV/f.u.



Material: Tl2TcPt
Method: DFT, PBE-GGA
State: relaxed

POSCAR file:
```
Tl2TcPt
1.0
-3.1670 1.8828 2.7226
-0.7196 -4.0694 1.9772
2.5360 0.7372 2.4402
Pt Tc Tl
1 1 2
Direct
0.5000 0.0000 0.5000
0.0000 0.5000 0.5000
0.0000 0.0000 0.0000
0.5000 0.5000 0.0000
```

**Final energy**: -4.849 eV per atom
**SG**: No. 123
**Density**: 15.44 g cm⁻³
**Energy above the most stable polymorph in this dataset**: 0.408 eV/f.u.
**Formation energy**: 1.7 eV/f.u.



> Among the records above, which one has the lowest density?

number 1



> What is the final energy in the first record?

-4.729 eV per atom



> The lowest formation energy belongs to which entry?

number 2